# RbNd2PdO5 (PBE, optimized geometry)
# Uncorrected formation energy (kcal/mol of atoms): -47.5
data_RbNd2PdO5
_space_group_name_H-M_alt 'I 4/m c m'
_space_group_IT_number 140
_space_group_name_Hall '-I 4 2c'
_cell_length_a 6.855
_cell_length_b 6.855
_cell_length_c 12.200
_cell_angle_alpha 90.00
_cell_angle_beta 90.00
_cell_angle_gamma 90.00
loop_
_atom_site_label
_atom_site_type_symbol
_atom_site_fract_x
_atom_site_fract_y
_atom_site_fract_z
_atom_site_occupancy
Rb1 Rb 0.000 0.000 0.250 1
Nd1 Nd 0.175 0.325 0.000 1
Pd1 Pd 0.000 0.500 0.250 1
O1 O 0.000 0.000 0.000 1
O2 O 0.130 0.370 0.382 1